[1]
Computed, not measured: crystalline NaLa2CuN at its relaxed geometry at the PBE level of DFT.

abc: 5.0024 5.0024 4.7073
angles: 90.00 90.00 90.00
Atoms (fractional coordinates):
Cu  0.5000  0.5000  0.5000
N  0.0000  0.0000  0.0000
La  0.5000  0.0000  0.0000
La  0.0000  0.5000  0.0000
Na  0.0000  0.0000  0.5000

The value obtained for the formation energy without anion corrections is -0.33 eV/atom. The value obtained for the raw total energy is -5.052 eV/atom.

[2]
Computed, not measured: crystalline TlAgGeSe2 at its relaxed geometry at the PBE level of DFT.

abc: 6.2519 7.8869 5.4615
angles: 106.53 90.00 90.00
Atoms (fractional coordinates):
Ag  0.5648  0.0000  0.2500
Ag  0.4352  0.0000  0.7500
Se  0.7237  0.2560  0.6460
Se  0.2763  0.2560  0.1460
Se  0.2763  0.7440  0.3540
Se  0.7237  0.7440  0.8540
Ge  0.0000  0.0000  0.5000
Ge  0.0000  0.0000  0.0000
Tl  0.2607  0.5000  0.7500
Tl  0.7393  0.5000  0.2500

The value obtained for the formation energy without anion corrections is -0.03 eV/atom. The value obtained for the raw total energy is -3.390 eV/atom.

Question: Which value of raw total energy does entry 2 give?
Answer: -3.390 eV/atom

Question: Which value of raw total energy does entry 1 give?
Answer: -5.052 eV/atom

Question: Which value of formation energy without anion corrections does entry 2 give?
Answer: -0.03 eV/atom